1.
Entry from the Alexandria database: a geometry-optimized ReTeOs2 structure (GGA-PBE).

Results
D(E_F) ... 4.26 states/eV/cell
DFT total energy ... -8.549 eV/atom
Space group ... P4/mmm
E_form (uncorrected) ... 0.963 eV/atom

Cell and atoms, written as extended XYZ:
```
4
Lattice="4.739 0.000 0.000 0.000 4.739 0.000 0.000 0.000 2.930" Properties=species:S:1:pos:R:3 pbc="T T T"
Re 0.000 0.000 0.000
Te 2.370 2.370 0.000
Os 0.000 2.370 1.465
Os 2.370 0.000 1.465
```

---

2.
Entry from the Alexandria database: a geometry-optimized Re2TeOs structure (GGA-PBE).

Results
D(E_F) ... 2.55 states/eV/cell
DFT total energy ... -8.665 eV/atom
Space group ... I-42d
E_form (uncorrected) ... 1.152 eV/atom

Cell and atoms, written as extended XYZ:
```
8
Lattice="-2.903 2.903 5.749 2.903 -2.903 5.749 2.903 2.903 -5.749" Properties=species:S:1:pos:R:3 pbc="T T T"
Re 4.354 1.266 -1.437
Re 1.266 1.451 1.437
Re -1.451 1.637 4.311
Re 1.637 1.451 7.186
Te 2.903 0.000 2.874
Te 0.000 0.000 5.749
Os 0.000 0.000 0.000
Os 0.000 2.903 2.874
```

---

3.
Entry from the Alexandria database: a geometry-optimized Re2TeOs structure (GGA-PBE).

Results
D(E_F) ... 6.88 states/eV/cell
DFT total energy ... -8.800 eV/atom
Space group ... P4/mmm
E_form (uncorrected) ... 1.016 eV/atom

Cell and atoms, written as extended XYZ:
```
4
Lattice="3.830 0.000 0.000 0.000 3.830 0.000 0.000 0.000 4.479" Properties=species:S:1:pos:R:3 pbc="T T T"
Re 0.000 1.915 0.000
Re 1.915 0.000 0.000
Te 0.000 0.000 2.240
Os 1.915 1.915 2.240
```

---

4.
Entry from the Alexandria database: a geometry-optimized Re2TeOs structure (GGA-PBE).

Results
D(E_F) ... 3.74 states/eV/cell
DFT total energy ... -8.802 eV/atom
Space group ... Cmmm
E_form (uncorrected) ... 1.015 eV/atom

Cell and atoms, written as extended XYZ:
```
4
Lattice="1.435 -2.442 0.000 1.435 2.442 0.000 0.000 0.000 9.915" Properties=species:S:1:pos:R:3 pbc="T T T"
Re 0.000 0.000 2.214
Re 0.000 0.000 7.700
Te 1.435 0.000 4.957
Os 1.435 0.000 0.000
```

---

- Which of these has the highest E_form (uncorrected)?
  number 2

---

- Among the records above, which one has the highest E_form (uncorrected)?
  number 2